Record 1
# LiSmNO

Crystalline LiSmNO at its relaxed geometry (PBE-GGA, OQMD via LeMat-Bulk).

abc: 3.4525 3.5626 4.3145
angles: 90.00 90.10 90.00
Last column: nearest neighbours and their distance in Å.
Space group Pm (No. 6)
Symmetry-distinct sites (fractional):
1 Li 0.0000 0.0000 0.0000  2 O 1.97, 2 N 2.18
2 Sm 0.4445 0.5000 0.5000  2 O 2.27, 2 N 2.41
3 N 0.9163 0.0000 0.5000  2 Li 2.18, 2 Sm 2.41
4 O 0.2420 0.5000 0.0000  2 Li 1.97


Record 2
# LiSmNO

Crystalline LiSmNO at its relaxed geometry (PBE-GGA, OQMD via LeMat-Bulk).

abc: 6.7059 5.7844 4.7393
angles: 90.00 90.00 90.00
Last column: nearest neighbours and their distance in Å.
Space group Pbcm (No. 57)
Symmetry-distinct sites (fractional):
1 Li 0.1029 0.0158 0.2500  1 O 1.88, 4 N 2.00-2.02
2 Sm 0.2912 0.0196 0.7500  4 O 2.30-2.47
3 N 0.0332 0.7500 0.0000  4 Li 2.00-2.02
4 O 0.3777 0.0816 0.2500  1 Li 1.88


Record 3
# LiSmNO

Crystalline LiSmNO at its relaxed geometry (PBE-GGA, OQMD via LeMat-Bulk).

abc: 7.3083 5.2997 4.8407
angles: 90.00 90.00 90.00
Last column: nearest neighbours and their distance in Å.
Space group Pbcm (No. 57)
Symmetry-distinct sites (fractional):
1 Li 0.0785 0.0356 0.2500  4 O 1.94-2.00, 1 N 2.09
2 Sm 0.3162 0.5145 0.2500  4 N 2.36-2.48, 2 O 2.48
3 N 0.3630 0.0659 0.2500  1 Li 2.09
4 O 0.0746 0.7500 0.0000  4 Li 1.94-2.00


Record 4
# LiSmNO

Crystalline LiSmNO at its relaxed geometry (PBE-GGA, OQMD via LeMat-Bulk).

abc: 3.6752 5.7423 4.5747
angles: 90.00 90.00 90.00
Last column: nearest neighbours and their distance in Å.
Space group Pmc2_1 (No. 26)
Symmetry-distinct sites (fractional):
1 Li 0.0000 0.2239 0.0000  2 O 1.92, 2 N 1.95-1.96
2 Sm 0.5000 0.2749 0.4997  3 O 2.32-2.44, 4 N 2.52-2.53
3 N 0.0000 0.4993 0.2508  2 Li 1.95-1.96
4 O 0.5000 0.1284 0.9992  2 Li 1.92


Number 1: distance to the lowest polymorph of the same formula 0.465 eV/f.u., size of the total moment 1.000 μB/f.u., E -25.66 eV per formula unit. Number 2: distance to the lowest polymorph of the same formula 0.000 eV/f.u., size of the total moment 0.000 μB/f.u., E -26.13 eV per formula unit. Number 3: distance to the lowest polymorph of the same formula 0.587 eV/f.u., size of the total moment 0.265 μB/f.u., E -25.54 eV per formula unit. Number 4: distance to the lowest polymorph of the same formula 0.035 eV/f.u., size of the total moment 0.000 μB/f.u., E -26.09 eV per formula unit.